## P
# In2H2Rh

An optimized crystal structure of In2H2Rh (PBE-GGA, the Alexandria database).

Computed properties:
Fermi-level density of states: 0.333 states/eV/atom
total magnetic moment: 0.00 μB per formula unit
space group: I4/mmm

a b c (Å): 3.1224 3.1224 7.0881
angles (deg): 77.28 77.28 90.00
Fractional coordinates of all 5 atoms:
H (0.7500, 0.2500, 0.5000)
H (0.2500, 0.7500, 0.5000)
Rh (0.0000, 0.0000, 0.0000)
In (0.3706, 0.3706, 0.2588)
In (0.6294, 0.6294, 0.7412)

## Q
# In2H2Rh

An optimized crystal structure of In2H2Rh (PBE-GGA, the Alexandria database).

Computed properties:
Fermi-level density of states: 0.327 states/eV/atom
total magnetic moment: 0.00 μB per formula unit
space group: P4/mbm

a b c (Å): 5.7244 5.7244 4.1695
angles (deg): 90.00 90.00 90.00
Fractional coordinates of all 10 atoms:
H (0.2504, 0.7504, 0.0000)
H (0.7504, 0.7496, 0.0000)
H (0.7496, 0.2496, 0.0000)
H (0.2496, 0.2504, 0.0000)
Rh (0.0000, 0.0000, 0.0000)
Rh (0.5000, 0.5000, 0.0000)
In (0.1815, 0.6815, 0.5000)
In (0.6815, 0.8185, 0.5000)
In (0.8185, 0.3185, 0.5000)
In (0.3185, 0.1815, 0.5000)

Most stable structure: Q

## P
# InHRh

An optimized crystal structure of InHRh (PBE-GGA, the Alexandria database).

Computed properties:
Fermi-level density of states: 0.236 states/eV/atom
total magnetic moment: 0.00 μB per formula unit
space group: I4mm

a b c (Å): 2.9007 2.9007 5.1360
angles (deg): 106.40 106.40 90.00
Fractional coordinates of all 3 atoms:
H (0.2604, 0.2604, 0.5208)
Rh (0.7265, 0.7265, 0.4530)
In (0.0131, 0.0131, 0.0262)

## Q
# InHRh

An optimized crystal structure of InHRh (PBE-GGA, the Alexandria database).

Computed properties:
Fermi-level density of states: 0.167 states/eV/atom
total magnetic moment: 0.00 μB per formula unit
space group: P2_1/c

a b c (Å): 5.2460 5.2656 6.0976
angles (deg): 63.62 90.00 90.00
Fractional coordinates of all 12 atoms:
In (0.3500, 0.6789, 0.1063)
In (0.1500, 0.6789, 0.6063)
In (0.6500, 0.3211, 0.8937)
In (0.8500, 0.3211, 0.3937)
H (0.5971, 0.8836, 0.6783)
H (0.9029, 0.8836, 0.1783)
H (0.4029, 0.1164, 0.3217)
H (0.0971, 0.1164, 0.8217)
Rh (0.3516, 0.1850, 0.5929)
Rh (0.8516, 0.8150, 0.9071)
Rh (0.6484, 0.8150, 0.4071)
Rh (0.1484, 0.1850, 0.0929)

Most stable structure: Q

## P
# InHRh

An optimized crystal structure of InHRh (PBE-GGA, the Alexandria database).

Computed properties:
Fermi-level density of states: 0.198 states/eV/atom
total magnetic moment: 0.00 μB per formula unit
space group: P-6m2

a b c (Å): 3.4055 3.8648 3.8673
angles (deg): 60.04 89.99 89.99
Fractional coordinates of all 3 atoms:
In (0.3826, 0.6945, 0.4739)
H (0.3831, 0.3612, 0.1402)
Rh (0.8831, 0.3612, 0.1402)

## Q
# InHRh

An optimized crystal structure of InHRh (PBE-GGA, the Alexandria database).

Computed properties:
Fermi-level density of states: 0.373 states/eV/atom
total magnetic moment: 0.00 μB per formula unit
space group: P-6m2

a b c (Å): 3.2403 3.2403 4.2296
angles (deg): 90.00 90.00 120.00
Fractional coordinates of all 3 atoms:
H (0.3333, 0.6667, 0.5005)
Rh (0.6667, 0.3333, 0.4997)
In (0.0000, 0.0000, 0.9998)

Most stable structure: Q

## P
# In2H4Ru

An optimized crystal structure of In2H4Ru (PBE-GGA, the Alexandria database).

Computed properties:
Fermi-level density of states: 0.077 states/eV/atom
total magnetic moment: 0.00 μB per formula unit
space group: P2_1/m

a b c (Å): 4.8560 5.0803 7.5206
angles (deg): 90.00 108.15 90.00
Fractional coordinates of all 14 atoms:
In (0.2209, 0.2500, 0.0442)
In (0.7791, 0.7500, 0.9558)
In (0.9986, 0.7500, 0.3724)
In (0.0014, 0.2500, 0.6276)
H (0.6162, 0.4603, 0.3046)
H (0.6304, 0.2500, 0.0082)
H (0.3696, 0.7500, 0.9918)
H (0.6162, 0.0397, 0.3046)
H (0.8347, 0.7500, 0.6221)
H (0.3838, 0.9603, 0.6954)
H (0.3838, 0.5397, 0.6954)
H (0.1653, 0.2500, 0.3779)
Ru (0.8254, 0.2500, 0.2375)
Ru (0.1746, 0.7500, 0.7625)

## Q
# In2H4Ru

An optimized crystal structure of In2H4Ru (PBE-GGA, the Alexandria database).

Computed properties:
Fermi-level density of states: 0.264 states/eV/atom
total magnetic moment: 0.00 μB per formula unit
space group: I4/mmm

a b c (Å): 3.4785 3.4785 7.2346
angles (deg): 76.09 76.09 90.00
Fractional coordinates of all 7 atoms:
Ru (0.0000, 0.0000, 0.0000)
H (0.1257, 0.1257, 0.7485)
H (0.8743, 0.8743, 0.2515)
H (0.0000, 0.5000, 0.0000)
H (0.5000, 0.0000, 0.0000)
In (0.3478, 0.3478, 0.3044)
In (0.6522, 0.6522, 0.6956)

Most stable structure: P

## P
# In2SbH2

An optimized crystal structure of In2SbH2 (PBE-GGA, the Alexandria database).

Computed properties:
Fermi-level density of states: 0.318 states/eV/atom
total magnetic moment: 0.00 μB per formula unit
space group: I4/mmm

a b c (Å): 3.6990 3.6990 7.0635
angles (deg): 74.82 74.82 90.00
Fractional coordinates of all 5 atoms:
Sb (0.0000, 0.0000, 0.0000)
H (0.7500, 0.2500, 0.5000)
H (0.2500, 0.7500, 0.5000)
In (0.3482, 0.3482, 0.3036)
In (0.6518, 0.6518, 0.6964)

## Q
# In2SbH2

An optimized crystal structure of In2SbH2 (PBE-GGA, the Alexandria database).

Computed properties:
Fermi-level density of states: 0.246 states/eV/atom
total magnetic moment: 0.00 μB per formula unit
space group: C2/m

a b c (Å): 4.7172 4.7172 7.5111
angles (deg): 118.69 72.01 136.65
Fractional coordinates of all 5 atoms:
In (0.7606, 0.5200, 0.2806)
In (0.2394, 0.4800, 0.7194)
Sb (0.0000, 0.0000, 0.0000)
H (0.3491, 0.1176, 0.4667)
H (0.6509, 0.8824, 0.5333)

Most stable structure: Q

## P
# InSbH3

An optimized crystal structure of InSbH3 (PBE-GGA, the Alexandria database).

Computed properties:
Fermi-level density of states: 0.578 states/eV/atom
total magnetic moment: 0.00 μB per formula unit
space group: Pm-3m

a b c (Å): 4.0522 4.0522 4.0522
angles (deg): 90.00 90.00 90.00
Fractional coordinates of all 5 atoms:
Sb (0.5000, 0.5000, 0.5000)
H (0.0000, 0.5000, 0.0000)
H (0.0000, 0.0000, 0.5000)
H (0.5000, 0.0000, 0.0000)
In (0.0000, 0.0000, 0.0000)

## Q
# InSbH3

An optimized crystal structure of InSbH3 (PBE-GGA, the Alexandria database).

Computed properties:
Fermi-level density of states: 0.271 states/eV/atom
total magnetic moment: 0.00 μB per formula unit
space group: Pm-3m

a b c (Å): 4.1920 4.1920 4.1920
angles (deg): 90.00 90.00 90.00
Fractional coordinates of all 5 atoms:
Sb (0.0000, 0.0000, 0.0000)
H (0.0000, 0.5000, 0.0000)
H (0.0000, 0.0000, 0.5000)
H (0.5000, 0.0000, 0.0000)
In (0.5000, 0.5000, 0.5000)

Most stable structure: Q